Entry from the Alexandria database: ErTh4O10 after structural relaxation (PBE-GGA).

POSCAR file:
```
ErTh4O10
1.0
3.9239 0.0000 0.4822
1.9323 3.4152 0.4822
0.0039 0.0023 16.1762
O Th Er
10 4 1
Direct
0.6520 0.6520 0.0441
0.8503 0.8503 0.4492
0.3480 0.3480 0.9559
0.9517 0.9517 0.1448
0.2514 0.2514 0.2458
0.7486 0.7486 0.7542
0.0483 0.0483 0.8552
0.5510 0.5510 0.3471
0.4490 0.4490 0.6529
0.1497 0.1497 0.5508
0.3980 0.3980 0.8059
0.2006 0.2006 0.3981
0.6020 0.6020 0.1941
0.7994 0.7994 0.6019
0.0000 0.0000 0.0000
```

Computed properties:
The calculation puts the electronic total energy at -9.25 eV per atom. As for the crystal system: trigonal. The calculation puts the magnetic moment at 1.1 μB/f.u.